Record 1
# Nb4ZnCdC2

An optimized crystal structure of Nb4ZnCdC2 (PBE, OQMD).

Calculated values
As for the calculated total energy: -63.69 eV/f.u. The space group is P-6m2.

Cell lengths 3.166, 3.166, 14.189 Å; angles 90.00, 90.00, 120.00 degrees
Sites, in units of the cell vectors:
C (0.333, 0.667, 0.258)
C (0.333, 0.667, 0.742)
Cd (0.000, 0.000, 0.000)
Nb (0.667, 0.333, 0.173)
Nb (0.000, 0.000, 0.343)
Nb (0.000, 0.000, 0.657)
Nb (0.667, 0.333, 0.827)
Zn (0.667, 0.333, 0.500)

Record 2
# Zr4Nb2Cd3C3

An optimized crystal structure of Zr4Nb2Cd3C3 (PBE, OQMD).

Calculated values
As for the calculated total energy: -90.48 eV/f.u. The space group is C2/c.

Cell lengths 5.725, 5.725, 15.285 Å; angles 100.90, 100.90, 60.02 degrees
Sites, in units of the cell vectors:
C (0.664, 0.173, 0.000)
C (0.000, 0.500, 0.000)
C (0.336, 0.827, 0.000)
C (0.173, 0.664, 0.500)
C (0.500, 0.000, 0.500)
C (0.827, 0.336, 0.500)
Cd (0.721, 0.582, 0.249)
Cd (0.115, 0.885, 0.250)
Cd (0.418, 0.279, 0.251)
Cd (0.582, 0.721, 0.749)
Cd (0.885, 0.115, 0.750)
Cd (0.279, 0.418, 0.751)
Nb (0.353, 0.525, 0.073)
Nb (0.475, 0.647, 0.427)
Nb (0.525, 0.353, 0.573)
Nb (0.647, 0.475, 0.927)
Zr (0.696, 0.867, 0.086)
Zr (0.034, 0.191, 0.086)
Zr (0.809, 0.966, 0.414)
Zr (0.133, 0.304, 0.414)
Zr (0.867, 0.696, 0.586)
Zr (0.191, 0.034, 0.586)
Zr (0.966, 0.809, 0.914)
Zr (0.304, 0.133, 0.914)

Among the records above, which one has the lowest calculated total energy? Zr4Nb2Cd3C3